The following is a DFT calculation (GGA-PBE) of a relaxed CaNd4Cd4 crystal. Values from VASP.

```
&SYSTEM
  ibrav = 0, nat = 18, ntyp = 3
/
ATOMIC_SPECIES
Nd 144.24 Nd.upf
Cd 112.41 Cd.upf
Ca 40.08 Ca.upf
ATOMIC_POSITIONS angstrom
Nd 2.3153 4.0590 8.1996
Nd 3.4912 1.4917 4.0590
Nd 3.4912 8.1996 5.6323
Nd 0.5879 8.9047 3.3540
Nd 0.5879 0.7867 6.3374
Nd 2.3153 5.6323 1.4917
Nd 5.2186 6.3374 8.9047
Nd 5.2186 3.3540 0.7867
Cd 5.2402 5.8647 2.9539
Cd 5.2402 3.8267 6.7375
Cd 2.3370 7.7996 8.6723
Cd 2.3370 1.8918 1.0190
Cd 0.5663 6.7375 5.8647
Cd 3.4696 1.0190 7.7996
Cd 0.5663 2.9539 3.8267
Cd 3.4696 8.6723 1.8918
Ca 0.0000 0.0000 0.0000
Ca 2.9033 4.8457 4.8457
CELL_PARAMETERS angstrom
5.8065 0.0000 0.0000
0.0000 9.6914 0.0000
0.0000 0.0000 9.6914
```

Summary:
- V (Å³/cell) = 545.4
- energy relative to the elements (eV/f.u.) = -1.3
- calculated density (g/cm³) = 6.5
- total magnetic moment (μB/cell) = 0.00